Here is a relaxed structure of Li5Ni3O5F3 from Alexandria. Energies are from GGA+U.

Calculated values
uncorrected energy = -4.771 eV/atom
volume = 8.88 A^3/atom
D(E_F) = 0.03 states/eV/atom

abc: 5.6983 5.8391 5.8916
angles: 119.43 118.73 90.31
Fractional coordinates of all 16 atoms:
Li (0.0000, 0.0000, 0.0000)
Li (0.0060, 0.5202, 0.5252)
Li (0.4773, 0.9925, 0.9921)
Li (0.4846, 0.5160, 0.9995)
Li (0.4947, 0.5080, 0.5016)
Ni (0.4803, 0.9960, 0.4751)
Ni (0.9935, 0.0092, 0.5031)
Ni (0.9993, 0.5148, 0.0017)
O (0.2275, 0.7755, 0.4844)
O (0.2393, 0.7549, 0.9998)
O (0.2457, 0.2264, 0.5049)
O (0.7425, 0.7932, 0.5028)
O (0.7597, 0.2432, 0.5255)
F (0.2587, 0.2642, 0.0244)
F (0.7281, 0.7540, 0.9828)
F (0.7539, 0.2689, 0.0255)